(1)
This record from Alexandria via LeMat-Bulk describes a relaxed AgIrSe crystal. The functional is PBE.

Cell: 6.172 6.172 6.172 Å, 90.00 90.00 90.00°
Space group F-43m (No. 216)
One atom of each set of equivalent atoms:
Ag 0.000 0.000 0.000
Ir 0.250 0.250 0.750
Se 0.000 0.000 0.500

magnetization	0.00	μB/cell
crystal system	cubic
formation energy from raw total energies	476	meV/atom
energy above the lowest structure with this stoichiometry	365.4	meV/atom



(2)
This record from Alexandria via LeMat-Bulk describes a relaxed Tb4Sm2DyHo2 crystal. The functional is PBE.

Cell: 18.667 3.596 9.565 Å, 90.00 115.69 90.00°
Space group C2/m (No. 12)
One atom of each set of equivalent atoms:
Tb 0.018 0.000 0.331
Tb 0.185 0.500 0.332
Sm 0.148 0.500 0.667
Dy 0.000 0.500 0.000
Ho 0.167 0.000 0.001

magnetization	0.00	μB/cell
crystal system	monoclinic
ΔE_f	0.008	eV per atom



(3)
This record from Alexandria via LeMat-Bulk describes a relaxed CsCr3H crystal. The functional is PBE.

Cell: 4.655 4.655 4.655 Å, 90.00 90.00 90.00°
Space group Pm-3m (No. 221)
One atom of each set of equivalent atoms:
Cs 0.000 0.000 0.000
Cr 0.000 0.500 0.500
H 0.500 0.500 0.500

magnetization	13.46	μB/cell
crystal system	cubic
E	-5.133	eV per atom



(4)
This record from Alexandria via LeMat-Bulk describes a relaxed Tb8CoBi2 crystal. The functional is PBE.

Cell: 19.191 4.612 7.358 Å, 90.00 97.06 90.00°
Space group C2/m (No. 12)
One atom of each set of equivalent atoms:
Tb 0.001 0.000 0.280
Tb 0.094 0.500 0.017
Tb 0.132 0.500 0.542
Tb 0.214 0.000 0.846
Co 0.000 0.500 0.500
Bi 0.183 0.000 0.283

magnetization	0.00	μB/cell
crystal system	monoclinic
ΔE_f	-0.310	eV per atom



Calculated mass density, 10710; 8202; 4772; 8985 kg/m3 (same order as the records).
Calculated calculated volume, 19.59; 32.14; 20.18; 29.37 Å³/atom (same order as the records).